i.
DFT (PBE) results for crystalline BAsN2 at its relaxed geometry.

abc: 4.5833 4.5833 4.8444
angles: 61.77 61.77 90.00
Last column: nearest neighbours and their distance in Å.
Element x y z (fractional)
As  0.0000  0.0000  0.0000  4 N 2.22
As  0.7500  0.2500  0.5000  4 N 2.22
B  0.5000  0.5000  0.0000  4 N 1.58
B  0.2500  0.7500  0.5000  4 N 1.58
N  0.5105  0.1250  0.2500  2 B 1.58
N  0.2395  0.6250  0.2500  2 B 1.58
N  0.3750  0.4895  0.7500  2 B 1.58
N  0.8750  0.7605  0.7500  2 B 1.58

ii.
DFT (PBE) results for crystalline BAsN2 at its relaxed geometry.

abc: 5.3292 5.3292 5.3292
angles: 36.62 36.62 36.62
Last column: nearest neighbours and their distance in Å.
Element x y z (fractional)
As  0.5000  0.5000  0.5000  6 N 2.24
B  0.0000  0.0000  0.0000  2 N 1.34
N  0.9097  0.9097  0.9097  1 B 1.34
N  0.0903  0.0903  0.0903  1 B 1.34

Of them, ii has the highest stability.

i.
DFT (PBE) results for crystalline B2AsN at its relaxed geometry.

abc: 3.7993 3.7993 3.7993
angles: 60.00 60.00 60.00
Last column: nearest neighbours and their distance in Å.
Element x y z (fractional)
As  0.5000  0.5000  0.5000  8 B 2.33
B  0.2500  0.2500  0.2500  4 As 2.33, 4 N 2.33
B  0.7500  0.7500  0.7500  4 As 2.33, 4 N 2.33
N  0.0000  0.0000  0.0000  8 B 2.33

ii.
DFT (PBE) results for crystalline B2AsN at its relaxed geometry.

abc: 4.2664 4.2664 5.1393
angles: 65.48 65.48 90.00
Last column: nearest neighbours and their distance in Å.
Element x y z (fractional)
As  0.0000  0.0000  0.0000  4 B 2.04
As  0.7500  0.2500  0.5000  4 B 2.04
B  0.5468  0.1250  0.2500  2 N 1.66
B  0.2032  0.6250  0.2500  2 N 1.66
B  0.3750  0.4532  0.7500  2 N 1.66
B  0.8750  0.7968  0.7500  2 N 1.66
N  0.5000  0.5000  0.0000  4 B 1.66
N  0.2500  0.7500  0.5000  4 B 1.66

Of them, ii has the highest stability.

i.
DFT (PBE) results for crystalline BTeAsN2 at its relaxed geometry.

abc: 3.7216 3.7216 4.7506
angles: 90.00 90.00 90.00
Last column: nearest neighbours and their distance in Å.
Element x y z (fractional)
As  0.5000  0.5000  0.5000  4 Te 2.63
Te  0.0000  0.0000  0.5000  2 B 2.38, 4 As 2.63
B  0.0000  0.0000  0.0000  4 N 1.86
N  0.0000  0.5000  0.0000  2 B 1.86
N  0.5000  0.0000  0.0000  2 B 1.86

ii.
DFT (PBE) results for crystalline BTeAsN2 at its relaxed geometry.

abc: 3.6009 3.6009 7.2650
angles: 90.00 90.00 90.00
Last column: nearest neighbours and their distance in Å.
Element x y z (fractional)
As  0.0000  0.0000  0.0000  4 N 1.80
Te  0.0000  0.0000  0.5000  4 B 2.55
B  0.5000  0.5000  0.5000  4 Te 2.55
N  0.0000  0.5000  0.0000  2 As 1.80
N  0.5000  0.0000  0.0000  2 As 1.80

Of them, ii has the highest stability.

i.
DFT (PBE) results for crystalline NaBAs2Se at its relaxed geometry.

abc: 5.0239 5.0239 5.0720
angles: 90.00 90.00 90.00
Last column: nearest neighbours and their distance in Å.
Element x y z (fractional)
Na  0.0000  0.0000  0.0000  4 As 2.51, 2 Se 2.54
As  0.0000  0.5000  0.0000  2 Na 2.51
As  0.5000  0.0000  0.0000  2 Na 2.51
B  0.5000  0.5000  0.5000  4 Se 3.55, 8 As 3.57
Se  0.0000  0.0000  0.5000  2 Na 2.54

ii.
DFT (PBE) results for crystalline NaBAs2Se at its relaxed geometry.

abc: 4.3178 4.3178 5.2951
angles: 90.00 90.00 90.00
Last column: nearest neighbours and their distance in Å.
Element x y z (fractional)
Na  0.5000  0.5000  0.5000  4 Se 3.05, 8 As 3.42
As  0.0000  0.5000  0.0000  2 B 2.16
As  0.5000  0.0000  0.0000  2 B 2.16
B  0.0000  0.0000  0.0000  4 As 2.16
Se  0.0000  0.0000  0.5000  2 B 2.65

Of them, ii has the highest stability.

i.
DFT (PBE) results for crystalline Nb2BAs at its relaxed geometry.

abc: 4.3527 4.3527 4.3527
angles: 60.00 60.00 60.00
Last column: nearest neighbours and their distance in Å.
Element x y z (fractional)
Nb  0.2500  0.2500  0.2500  4 As 2.67, 4 B 2.67
Nb  0.7500  0.7500  0.7500  4 As 2.67, 4 B 2.67
B  0.0000  0.0000  0.0000  8 Nb 2.67
As  0.5000  0.5000  0.5000  8 Nb 2.67

ii.
DFT (PBE) results for crystalline Nb2BAs at its relaxed geometry.

abc: 5.4041 5.4041 6.5902
angles: 65.79 65.79 90.00
Last column: nearest neighbours and their distance in Å.
Element x y z (fractional)
Nb  0.5579  0.1250  0.2500  2 B 2.15
Nb  0.1921  0.6250  0.2500  2 B 2.15
Nb  0.3750  0.4421  0.7500  2 B 2.15
Nb  0.8750  0.8079  0.7500  2 B 2.15
B  0.5000  0.5000  0.0000  4 Nb 2.15
B  0.2500  0.7500  0.5000  4 Nb 2.15
As  0.0000  0.0000  0.0000  4 Nb 2.56
As  0.7500  0.2500  0.5000  4 Nb 2.56

Of them, i has the highest stability.

i.
DFT (PBE) results for crystalline NiBAs3 at its relaxed geometry.

abc: 4.3042 4.3042 4.3042
angles: 90.00 90.00 90.00
Last column: nearest neighbours and their distance in Å.
Element x y z (fractional)
Ni  0.5000  0.5000  0.5000  12 As 3.04
As  0.0000  0.5000  0.0000  2 B 2.15
As  0.0000  0.0000  0.5000  2 B 2.15
As  0.5000  0.0000  0.0000  2 B 2.15
B  0.0000  0.0000  0.0000  6 As 2.15

ii.
DFT (PBE) results for crystalline NiBAs3 at its relaxed geometry.

abc: 4.5833 4.5833 4.5833
angles: 90.00 90.00 90.00
Last column: nearest neighbours and their distance in Å.
Element x y z (fractional)
Ni  0.0000  0.0000  0.0000  6 As 2.29
As  0.0000  0.5000  0.0000  2 Ni 2.29
As  0.0000  0.0000  0.5000  2 Ni 2.29
As  0.5000  0.0000  0.0000  2 Ni 2.29
B  0.5000  0.5000  0.5000  12 As 3.24

Of them, i has the highest stability.

i.
DFT (PBE) results for crystalline Ni8BAs2 at its relaxed geometry.

abc: 3.5684 6.7150 6.4418
angles: 121.41 106.08 90.00
Last column: nearest neighbours and their distance in Å.
Element x y z (fractional)
Ni  0.6584  0.9005  0.3169  3 As 2.36-2.43, 1 B 2.39, 6 Ni 2.45-2.61
Ni  0.3416  0.5836  0.6831  3 As 2.36-2.43, 1 B 2.39, 6 Ni 2.45-2.61
Ni  0.1182  0.1182  0.2363  2 B 2.17, 2 Ni 2.42
Ni  0.0000  0.3110  0.0000  2 As 2.33, 7 Ni 2.42-2.54
Ni  0.8818  0.8818  0.7637  2 B 2.17, 2 Ni 2.42
Ni  0.6584  0.4164  0.3169  3 As 2.36-2.43, 1 B 2.39, 6 Ni 2.45-2.61
Ni  0.3416  0.0995  0.6831  3 As 2.36-2.43, 1 B 2.39, 6 Ni 2.45-2.61
Ni  0.0000  0.6890  0.0000  2 As 2.33, 7 Ni 2.42-2.54
B  0.5000  0.0000  0.0000  8 Ni 2.17-2.39
As  0.1880  0.6880  0.3760  8 Ni 2.33-2.43
As  0.8120  0.3120  0.6240  8 Ni 2.33-2.43

ii.
DFT (PBE) results for crystalline Ni8BAs2 at its relaxed geometry.

abc: 3.8901 5.1433 6.8357
angles: 110.10 106.53 90.00
Last column: nearest neighbours and their distance in Å.
Element x y z (fractional)
Ni  0.4035  0.5938  0.8070  1 B 2.02
Ni  0.6453  0.9440  0.2906  1 B 2.03
Ni  0.8006  0.7305  0.6012  3 As 2.31-2.51, 2 Ni 2.50
Ni  0.9845  0.2142  0.9689  2 B 2.28, 1 As 2.30, 5 Ni 2.38-2.52
Ni  0.1994  0.2695  0.3988  3 As 2.31-2.51, 2 Ni 2.50
Ni  0.3547  0.0560  0.7094  1 B 2.03
Ni  0.5965  0.4062  0.1930  1 B 2.02
Ni  0.0155  0.7858  0.0311  2 B 2.28, 1 As 2.30, 5 Ni 2.38-2.52
B  0.5000  0.0000  0.0000  4 Ni 2.02-2.03
As  0.8257  0.3089  0.6513  9 Ni 2.30-2.51
As  0.1743  0.6911  0.3487  9 Ni 2.30-2.51

Of them, ii has the highest stability.

i.
DFT (PBE) results for crystalline BAsO2 at its relaxed geometry.

abc: 6.6684 6.6684 6.6684
angles: 25.50 25.50 25.50
Last column: nearest neighbours and their distance in Å.
Element x y z (fractional)
As  0.5000  0.5000  0.5000  6 O 2.59
B  0.0000  0.0000  0.0000  2 O 1.27
O  0.9346  0.9346  0.9346  1 B 1.27
O  0.0654  0.0654  0.0654  1 B 1.27

ii.
DFT (PBE) results for crystalline BAsO2 at its relaxed geometry.

abc: 4.7443 4.7443 4.8306
angles: 60.59 60.59 90.00
Last column: nearest neighbours and their distance in Å.
Element x y z (fractional)
As  0.0000  0.0000  0.0000  12 O 2.66-2.92, 4 As 2.94, 4 B 2.94
As  0.7500  0.2500  0.5000  12 O 2.66-2.92, 4 B 2.94, 4 As 2.94
B  0.5000  0.5000  0.0000  4 O 1.48
B  0.2500  0.7500  0.5000  4 O 1.48
O  0.4076  0.1250  0.2500  2 B 1.48
O  0.3424  0.6250  0.2500  2 B 1.48
O  0.3750  0.5924  0.7500  2 B 1.48
O  0.8750  0.6576  0.7500  2 B 1.48

Of them, ii has the highest stability.

i.
DFT (PBE) results for crystalline BAs2O2 at its relaxed geometry.

abc: 5.8625 5.8625 4.8604
angles: 52.91 52.91 90.00
Last column: nearest neighbours and their distance in Å.
Element x y z (fractional)
As  0.7500  0.2500  0.5000  2 As 2.54
As  0.2500  0.7500  0.5000  2 As 2.54
B  0.0000  0.0000  0.0000  2 O 1.27
O  0.2496  0.2496  0.5008  1 B 1.27
O  0.7504  0.7504  0.4992  1 B 1.27

ii.
DFT (PBE) results for crystalline BAs2O2 at its relaxed geometry.

abc: 7.2888 7.2888 2.7486
angles: 90.00 90.00 90.00
Last column: nearest neighbours and their distance in Å.
Element x y z (fractional)
As  0.2512  0.7512  0.5000  2 O 1.86
As  0.7512  0.7488  0.5000  2 O 1.86
As  0.7488  0.2488  0.5000  2 O 1.86
As  0.2488  0.2512  0.5000  2 O 1.86
B  0.0000  0.0000  0.0000  2 B 2.75, 4 O 2.87, 8 As 2.92
B  0.5000  0.5000  0.0000  2 B 2.75, 4 O 2.87, 8 As 2.92
O  0.3726  0.8726  0.0000  2 As 1.86
O  0.8726  0.6274  0.0000  2 As 1.86
O  0.6274  0.1274  0.0000  2 As 1.86
O  0.1274  0.3726  0.0000  2 As 1.86

Of them, i has the highest stability.

i.
DFT (PBE) results for crystalline BAs3Os at its relaxed geometry.

abc: 4.7986 4.7986 4.7986
angles: 90.00 90.00 90.00
Last column: nearest neighbours and their distance in Å.
Element x y z (fractional)
As  0.0000  0.5000  0.0000  2 Os 2.40
As  0.0000  0.0000  0.5000  2 Os 2.40
As  0.5000  0.0000  0.0000  2 Os 2.40
B  0.5000  0.5000  0.5000  12 As 3.39
Os  0.0000  0.0000  0.0000  6 As 2.40

ii.
DFT (PBE) results for crystalline BAs3Os at its relaxed geometry.

abc: 4.2553 4.2553 4.2553
angles: 90.00 90.00 90.00
Last column: nearest neighbours and their distance in Å.
Element x y z (fractional)
As  0.0000  0.5000  0.0000  2 B 2.13
As  0.0000  0.0000  0.5000  2 B 2.13
As  0.5000  0.0000  0.0000  2 B 2.13
B  0.0000  0.0000  0.0000  6 As 2.13
Os  0.5000  0.5000  0.5000  12 As 3.01

Of them, ii has the highest stability.

i.
DFT (PBE) results for crystalline B3AsOs at its relaxed geometry.

abc: 4.1599 4.1599 4.1599
angles: 90.00 90.00 90.00
Last column: nearest neighbours and their distance in Å.
Element x y z (fractional)
As  0.5000  0.5000  0.5000  12 B 2.94
B  0.0000  0.5000  0.0000  2 Os 2.08
B  0.0000  0.0000  0.5000  2 Os 2.08
B  0.5000  0.0000  0.0000  2 Os 2.08
Os  0.0000  0.0000  0.0000  6 B 2.08

ii.
DFT (PBE) results for crystalline B3AsOs at its relaxed geometry.

abc: 3.9865 3.9865 3.9865
angles: 90.00 90.00 90.00
Last column: nearest neighbours and their distance in Å.
Element x y z (fractional)
As  0.0000  0.0000  0.0000  6 B 1.99
B  0.0000  0.5000  0.0000  2 As 1.99
B  0.0000  0.0000  0.5000  2 As 1.99
B  0.5000  0.0000  0.0000  2 As 1.99
Os  0.5000  0.5000  0.5000  12 B 2.82

Of them, i has the highest stability.

i.
DFT (PBE) results for crystalline BAsP2 at its relaxed geometry.

abc: 7.1233 2.9643 9.9811
angles: 90.00 130.74 90.00
Last column: nearest neighbours and their distance in Å.
Element x y z (fractional)
P  0.7641  0.0000  0.7438  2 B 2.12, 1 P 2.15, 1 As 2.37
P  0.7641  0.5000  0.2438  2 B 2.12, 1 P 2.15, 1 As 2.37
P  0.3911  0.0000  0.4931  2 B 2.00, 1 P 2.15
P  0.3911  0.5000  0.9931  2 B 2.00, 1 P 2.15
As  0.9002  0.0000  0.0330  1 B 2.08
As  0.9002  0.5000  0.5330  1 B 2.08
B  0.6196  0.0000  0.0455  4 P 2.00-2.12, 1 As 2.08
B  0.6196  0.5000  0.5455  4 P 2.00-2.12, 1 As 2.08

ii.
DFT (PBE) results for crystalline BAsP2 at its relaxed geometry.

abc: 2.9943 5.0607 5.1923
angles: 83.01 78.38 73.40
Last column: nearest neighbours and their distance in Å.
Element x y z (fractional)
P  0.1119  0.1690  0.5313  1 B 1.93
P  0.5897  0.3603  0.1893  2 B 1.94-1.96
As  0.4589  0.7961  0.9049  1 B 2.06
B  0.2259  0.1065  0.1620  3 P 1.93-1.96, 1 As 2.06

iii.
DFT (PBE) results for crystalline BAsP2 at its relaxed geometry.

abc: 5.5492 5.5492 5.6625
angles: 60.66 60.66 90.00
Last column: nearest neighbours and their distance in Å.
Element x y z (fractional)
P  0.5479  0.1250  0.2500  2 B 1.97
P  0.2021  0.6250  0.2500  2 B 1.97
P  0.3750  0.4521  0.7500  2 B 1.97
P  0.8750  0.7979  0.7500  2 B 1.97
As  0.0000  0.0000  0.0000  4 P 2.50
As  0.7500  0.2500  0.5000  4 P 2.50
B  0.5000  0.5000  0.0000  4 P 1.97
B  0.2500  0.7500  0.5000  4 P 1.97

iv.
DFT (PBE) results for crystalline BAsP2 at its relaxed geometry.

abc: 3.3366 3.4861 5.5484
angles: 77.03 84.44 82.90
Last column: nearest neighbours and their distance in Å.
Element x y z (fractional)
P  0.6531  0.1228  0.5634  2 P 2.22-2.46, 1 As 2.44
P  0.5909  0.6851  0.2815  2 B 1.96
As  0.1041  0.3088  0.8527  2 B 2.12-2.21
B  0.1145  0.7402  0.0899  2 P 1.96, 1 As 2.12

Of them, iv has the highest stability.